Material: PuSc2PaAs4
Method: DFT, PBE
State: relaxed

Properties
V, Å³/atom: 22.624
Space-group type: P2/m (10)
E_form, eV per formula unit: -9.74

Structure (POSCAR):
```
PuSc2PaAs4
1.0
6.883 0.000 0.000
0.000 4.022 0.000
-2.339 0.000 6.539
Pu Sc Pa As
1 2 1 4
direct
0.000 0.000 0.000
0.500 0.000 0.500
0.500 0.500 0.000
0.000 0.500 0.500
0.264 0.500 0.257
0.265 0.000 0.753
0.735 0.000 0.247
0.736 0.500 0.743
```

Material: LiPuSn2
Method: DFT, PBE
State: relaxed

Properties
Energy above the lowest structure with this stoichiometry, meV/atom: 73
V, Å³/atom: 24.527
Space-group type: Fm-3m (225)
E_form, eV per formula unit: -1.12

Structure (POSCAR):
```
LiPuSn2
1.0
0.000 3.661 3.661
3.661 0.000 3.661
3.661 3.661 0.000
Li Pu Sn
1 1 2
direct
0.000 0.000 0.000
0.500 0.500 0.500
0.250 0.250 0.250
0.750 0.750 0.750
```

Material: MnCo4N4
Method: DFT, PBE
State: relaxed

Properties
V, Å³/atom: 8.968
Formation energy from raw total energies, meV per atom: 179.6
Space-group type: P-1 (2)

Structure (POSCAR):
```
MnCo4N4
1.0
4.799 0.000 0.000
1.357 4.619 0.000
2.302 -0.041 7.282
Mn Co N
2 8 8
direct
0.122 0.196 0.223
0.878 0.804 0.777
0.020 0.770 0.418
0.308 0.759 0.953
0.362 0.258 0.784
0.496 0.719 0.573
0.504 0.281 0.427
0.638 0.742 0.216
0.692 0.241 0.047
0.980 0.230 0.582
0.035 0.070 0.838
0.176 0.521 0.618
0.304 0.370 0.018
0.317 0.990 0.392
0.683 0.010 0.608
0.696 0.630 0.982
0.824 0.479 0.382
0.965 0.930 0.162
```

Material: YSiTc2
Method: DFT, PBE
State: relaxed

Properties
V, Å³/atom: 17.175
Formation energy from raw total energies, meV per atom: -3.5
Space-group type: Immm (71)

Structure (POSCAR):
```
YSiTc2
1.0
-1.591 2.532 4.263
1.591 -2.532 4.263
1.591 2.532 -4.263
Y Si Tc
1 1 2
direct
0.000 0.000 0.000
0.500 0.500 0.000
0.285 0.785 0.500
0.715 0.215 0.500
```